## YMo3F (GGA+U)

Data for a relaxed YMo3F crystal. Values from VASP.

Computed properties:
- energy above the lowest structure with this stoichiometry (meV/atom) = 1080
- crystal system = cubic
- space group = Pm-3m, No. 221

Structure (Quantum ESPRESSO input):
```
&SYSTEM
  ibrav = 0, nat = 5, ntyp = 3
/
ATOMIC_SPECIES
Y 88.91 Y.upf
F 19.00 F.upf
Mo 95.94 Mo.upf
CELL_PARAMETERS angstrom
6.032 0.000 0.000
0.000 6.032 0.000
0.000 0.000 6.032
ATOMIC_POSITIONS crystal
Y 0.000 0.000 0.000
F 0.500 0.500 0.500
Mo 0.500 0.000 0.000
Mo 0.000 0.500 0.000
Mo 0.000 0.000 0.500
```